(1)
NdHgAsO: relaxed, GGA-PBE.

Output
Space group = No. 26
Uncorrected energy = -0.1811 Ha/atom
Magnetic moment = 0.00 μB per formula unit

abc: 4.3898 7.2105 6.2420
angles: 90.00 90.00 90.00
With the nearest neighbours (Å) after each atom.
Fractional positions:
As  0.0000  0.8054  0.4377  2 Hg 2.54
As  0.0000  0.1946  0.9377  2 Hg 2.54
Hg  0.5000  0.6270  0.4399  1 O 2.33, 2 As 2.54
Hg  0.5000  0.3730  0.9399  1 O 2.33, 2 As 2.54
Nd  0.0000  0.2172  0.4373  2 O 2.28
Nd  0.0000  0.7828  0.9373  2 O 2.28
O  0.5000  0.3045  0.4391  2 Nd 2.28, 1 Hg 2.33
O  0.5000  0.6955  0.9391  2 Nd 2.28, 1 Hg 2.33

=====

(2)
CoMoOs2: relaxed, GGA-PBE.

Output
Space group = No. 40
E_form = -0.040 eV/atom
Offset from the most stable computed form = 27 meV per atom
Magnetic moment = 0.00 μB per formula unit

abc: 4.2865 5.4462 5.4462
angles: 120.12 90.00 90.00
With the nearest neighbours (Å) after each atom.
Fractional positions:
Co  0.2500  0.3215  0.1707  2 Co 2.57, 6 Os 2.59-2.85, 4 Mo 2.62-2.82
Co  0.7500  0.1707  0.3215  2 Co 2.57, 6 Os 2.59-2.85, 4 Mo 2.62-2.82
Mo  0.7500  0.6545  0.3262  8 Os 2.61-2.83, 4 Co 2.62-2.82
Mo  0.2500  0.3262  0.6545  8 Os 2.61-2.83, 4 Co 2.62-2.82
Os  0.2500  0.8473  0.1749  4 Co 2.59-2.85, 4 Mo 2.61-2.83, 4 Os 2.67-2.74
Os  0.2500  0.8383  0.6667  6 Os 2.67-2.74, 4 Mo 2.68-2.76, 2 Co 2.69-2.75
Os  0.7500  0.6667  0.8383  6 Os 2.67-2.74, 4 Mo 2.68-2.76, 2 Co 2.69-2.75
Os  0.7500  0.1749  0.8473  4 Co 2.59-2.85, 4 Mo 2.61-2.83, 4 Os 2.67-2.74

=====

(3)
PmThRe: relaxed, GGA-PBE.

Output
Space group = No. 216
E_form = 1.048 eV/atom
Magnetic moment = 0.01 μB per formula unit

abc: 4.8840 4.8840 4.8840
angles: 60.00 60.00 60.00
With the nearest neighbours (Å) after each atom.
Fractional positions:
Pm  0.5000  0.5000  0.5000  4 Th 2.99
Re  0.0000  0.0000  0.0000  4 Th 2.99
Th  0.2500  0.2500  0.2500  4 Pm 2.99, 4 Re 2.99

=====

(4)
TbTmW: relaxed, GGA-PBE.

Output
Space group = No. 216
E_form = 0.838 eV/atom
Offset from the most stable computed form = 0 meV per atom
Magnetic moment = 0.03 μB per formula unit

abc: 4.8495 4.8495 4.8495
angles: 60.00 60.00 60.00
With the nearest neighbours (Å) after each atom.
Fractional positions:
Tb  0.2500  0.2500  0.2500  4 W 2.97
Tm  0.7500  0.7500  0.7500  4 W 2.97
W  0.0000  0.0000  0.0000  4 Tm 2.97, 4 Tb 2.97

=====

(5)
Er3Tm5Te: relaxed, GGA-PBE.

Output
Space group = No. 189
Uncorrected energy = -0.1704 Ha/atom
Magnetic moment = 0.01 μB per formula unit

abc: 9.1056 9.1056 3.7278
angles: 90.00 90.00 120.00
With the nearest neighbours (Å) after each atom.
Fractional positions:
Er  0.2769  0.0000  0.5000  2 Te 3.14, 2 Tm 3.32
Er  0.0000  0.2769  0.5000  2 Te 3.14, 2 Tm 3.32
Er  0.7231  0.7231  0.5000  2 Te 3.14, 2 Tm 3.32
Te  0.0000  0.0000  0.0000  6 Er 3.14
Tm  0.6143  0.0000  0.0000  6 Tm 3.39-3.73, 1 Te 3.51, 6 Er 3.59-3.65
Tm  0.3857  0.3857  0.0000  6 Tm 3.39-3.73, 1 Te 3.51, 6 Er 3.59-3.65
Tm  0.0000  0.6143  0.0000  6 Tm 3.39-3.73, 1 Te 3.51, 6 Er 3.59-3.65
Tm  0.6667  0.3333  0.5000  3 Er 3.32, 6 Tm 3.39
Tm  0.3333  0.6667  0.5000  3 Er 3.32, 6 Tm 3.39

=====

(6)
CsThGa: relaxed, GGA-PBE.

Output
Space group = No. 187
Offset from the most stable computed form = 0 meV per atom
Magnetic moment = 0.00 μB per formula unit

abc: 5.7068 5.7068 10.4756
angles: 90.00 90.00 120.00
With the nearest neighbours (Å) after each atom.
Fractional positions:
Cs  0.0000  0.0000  0.0000  3 Ga 3.29
Cs  0.6667  0.3333  0.3288  4 Ga 3.33-3.44, 1 Cs 3.59, 3 Th 3.72
Cs  0.6667  0.3333  0.6712  4 Ga 3.33-3.44, 1 Cs 3.59, 3 Th 3.72
Ga  0.6667  0.3333  0.0000  5 Cs 3.29-3.44
Ga  0.0000  0.0000  0.3769  1 Ga 2.58
Ga  0.0000  0.0000  0.6231  1 Ga 2.58
Th  0.3333  0.6667  0.1648  2 Th 3.45-3.51, 6 Cs 3.72, 3 Ga 3.72
Th  0.3333  0.6667  0.5000  2 Th 3.51, 6 Ga 3.54, 6 Cs 3.75
Th  0.3333  0.6667  0.8352  2 Th 3.45-3.51, 6 Cs 3.72, 3 Ga 3.72